Record 1
This record from OQMD via LeMat-Bulk describes an optimized crystal structure of KSmFe. The functional is GGA-PBE.

Crystal system: cubic
Mass density in Mg/m³: 4.28
Uncorrected energy in eV/f.u.: -9.99

a = 7.2471 Å, b = 7.2471 Å, c = 7.2471 Å
α = 90.00°, β = 90.00°, γ = 90.00°
Space group F-43m (No. 216)
Inequivalent atoms, fractional coordinates:
K 0.0000 0.0000 0.0000 x4
Sm 0.2500 0.2500 0.7500 x4
Fe 0.0000 0.0000 0.5000 x4



Record 2
This record from OQMD via LeMat-Bulk describes an optimized crystal structure of KFeSn. The functional is GGA-PBE.

Crystal system: cubic
Mass density in Mg/m³: 3.48
Uncorrected energy in eV/f.u.: -9.30

a = 7.4138 Å, b = 7.4138 Å, c = 7.4138 Å
α = 90.00°, β = 90.00°, γ = 90.00°
Space group F-43m (No. 216)
Inequivalent atoms, fractional coordinates:
K 0.0000 0.0000 0.0000 x4
Fe 0.2500 0.2500 0.7500 x4
Sn 0.2500 0.2500 0.2500 x4



Record 3
This record from OQMD via LeMat-Bulk describes an optimized crystal structure of KFe3Sn5. The functional is GGA-PBE.

Crystal system: hexagonal
Mass density in Mg/m³: 6.30
Uncorrected energy in eV/f.u.: -46.67

a = 5.2417 Å, b = 5.2417 Å, c = 8.8675 Å
α = 90.00°, β = 90.00°, γ = 120.00°
Space group P6/mmm (No. 191)
Inequivalent atoms, fractional coordinates:
K 0.0000 0.0000 0.0000 x1
Fe 0.0000 0.5000 0.5000 x3
Sn 0.0000 0.0000 0.5000 x1
Sn 0.3333 0.6667 0.2385 x4



Record 4
This record from OQMD via LeMat-Bulk describes an optimized crystal structure of KFeSn. The functional is GGA-PBE.

Crystal system: cubic
Mass density in Mg/m³: 4.22
Uncorrected energy in eV/f.u.: -11.10

a = 6.9538 Å, b = 6.9538 Å, c = 6.9538 Å
α = 90.00°, β = 90.00°, γ = 90.00°
Space group F-43m (No. 216)
Inequivalent atoms, fractional coordinates:
K 0.0000 0.0000 0.0000 x4
Fe 0.2500 0.2500 0.2500 x4
Sn 0.0000 0.0000 0.5000 x4



Record 5
This record from OQMD via LeMat-Bulk describes an optimized crystal structure of KTbFe. The functional is GGA-PBE.

Crystal system: cubic
Mass density in Mg/m³: 4.62
Uncorrected energy in eV/f.u.: -9.24

a = 7.1445 Å, b = 7.1445 Å, c = 7.1445 Å
α = 90.00°, β = 90.00°, γ = 90.00°
Space group F-43m (No. 216)
Inequivalent atoms, fractional coordinates:
K 0.0000 0.0000 0.0000 x4
Tb 0.2500 0.2500 0.2500 x4
Fe 0.2500 0.2500 0.7500 x4



Record 6
This record from OQMD via LeMat-Bulk describes an optimized crystal structure of KTbFeTe3. The functional is GGA-PBE.

Crystal system: monoclinic
Mass density in Mg/m³: 5.54
Uncorrected energy in eV/f.u.: -27.58

a = 17.9708 Å, b = 4.6513 Å, c = 9.2475 Å
α = 90.00°, β = 98.88°, γ = 90.00°
Space group C2/m (No. 12)
Inequivalent atoms, fractional coordinates:
K 0.1417 0.0000 0.0734 x4
Tb 0.1693 0.0000 0.5844 x4
Fe 0.0014 0.5000 0.6487 x4
Te 0.0000 0.0000 0.5000 x2
Te 0.0000 0.5000 0.0000 x2
Te 0.1464 0.5000 0.7949 x4
Te 0.1598 0.5000 0.3534 x4



Record 7
This record from OQMD via LeMat-Bulk describes an optimized crystal structure of KTbFeTe3. The functional is GGA-PBE.

Crystal system: orthorhombic
Mass density in Mg/m³: 5.31
Uncorrected energy in eV/f.u.: -28.65

a = 4.3573 Å, b = 15.9567 Å, c = 11.4560 Å
α = 90.00°, β = 90.00°, γ = 90.00°
Space group Cmcm (No. 63)
Inequivalent atoms, fractional coordinates:
K 0.0000 0.2495 0.2500 x4
Tb 0.0000 0.0000 0.0000 x4
Fe 0.0000 0.4697 0.7500 x4
Te 0.0000 0.0708 0.7500 x4
Te 0.0000 0.3714 0.5663 x8



Record 8
This record from OQMD via LeMat-Bulk describes an optimized crystal structure of KTbFeTe3. The functional is GGA-PBE.

Crystal system: orthorhombic
Mass density in Mg/m³: 5.19
Uncorrected energy in eV/f.u.: -28.75

a = 16.2907 Å, b = 4.2871 Å, c = 11.6764 Å
α = 90.00°, β = 90.00°, γ = 90.00°
Space group Pnma (No. 62)
Inequivalent atoms, fractional coordinates:
K 0.2331 0.2500 0.0260 x4
Tb 0.0192 0.2500 0.3434 x4
Fe 0.0091 0.7500 0.0752 x4
Te 0.0887 0.7500 0.8801 x4
Te 0.1037 0.2500 0.5764 x4
Te 0.1292 0.7500 0.2304 x4



Record 9
This record from OQMD via LeMat-Bulk describes an optimized crystal structure of KTbFeTe3. The functional is GGA-PBE.

Crystal system: monoclinic
Mass density in Mg/m³: 5.11
Uncorrected energy in eV/f.u.: -28.74

a = 9.3683 Å, b = 4.2838 Å, c = 10.9737 Å
α = 90.00°, β = 109.97°, γ = 90.00°
Space group P2_1/m (No. 11)
Inequivalent atoms, fractional coordinates:
K 0.2428 0.2500 0.2831 x2
Tb 0.3226 0.7500 0.8547 x2
Fe 0.0644 0.2500 0.5789 x2
Te 0.0774 0.2500 0.8240 x2
Te 0.2289 0.7500 0.5491 x2
Te 0.4436 0.7500 0.1504 x2



Record 10
This record from OQMD via LeMat-Bulk describes an optimized crystal structure of KTbFeTe3. The functional is GGA-PBE.

Crystal system: orthorhombic
Mass density in Mg/m³: 5.43
Uncorrected energy in eV/f.u.: -28.25

a = 10.6971 Å, b = 4.4497 Å, c = 16.3552 Å
α = 90.00°, β = 90.00°, γ = 90.00°
Space group Pnma (No. 62)
Inequivalent atoms, fractional coordinates:
K 0.0568 0.2500 0.1803 x4
Tb 0.1713 0.7500 0.4457 x4
Fe 0.1494 0.2500 0.6281 x4
Te 0.0167 0.7500 0.6092 x4
Te 0.1670 0.7500 0.0220 x4
Te 0.2067 0.2500 0.7804 x4



> mass density of number 1 (KSmFe)?

4.28 Mg/m³



> What is the formula in the eighth record?

KTbFeTe3